VASP calculation (PBE+U) on a relaxed CoSnSO crystal. Values from VASP.

The structure in Quantum ESPRESSO input format:
```
&SYSTEM
  ibrav = 0, nat = 16, ntyp = 4
/
ATOMIC_SPECIES
Co 58.93 Co.upf
O 16.00 O.upf
Sn 118.71 Sn.upf
S 32.06 S.upf
CELL_PARAMETERS angstrom
5.7348 0.0000 0.0000
0.0000 3.7717 0.0000
0.0000 0.0000 13.7465
ATOMIC_POSITIONS angstrom
Co 0.7510 0.9429 4.1574
Co 2.1164 2.8288 11.0307
Co 3.6184 0.9429 2.7159
Co 4.9838 2.8288 9.5891
O 4.4863 0.9429 4.4594
O 4.1159 2.8288 11.3327
O 1.2485 2.8288 9.2871
O 1.6189 0.9429 2.4139
Sn 4.2091 2.8288 5.7343
Sn 1.3417 2.8288 1.1390
Sn 4.3930 0.9429 12.6076
Sn 1.5257 0.9429 8.0123
S 4.2988 0.9429 8.4217
S 1.4314 0.9429 12.1981
S 4.3033 2.8288 1.5485
S 1.4359 2.8288 5.3248
```

Properties
Calculated total energy ... -5.228 eV/atom
Magnetization ... 3.0 μB/f.u.